(1)
DFT (GGA-PBE) results for a relaxed structure of NaSr2Ca6.

* ΔH_f (0 K): 52 kJ/mol of formula units
* N(E_F): 9.82 states/eV/cell
* energy above the lowest structure with this stoichiometry: 0.0 meV per atom

Cell lengths 3.968, 3.968, 29.487 Å; angles 90.00, 90.00, 120.00 degrees
Sites, in units of the cell vectors:
Na  0.000  0.000  0.000
Sr  0.333  0.667  0.325
Sr  0.333  0.667  0.675
Ca  0.000  0.000  0.211
Ca  0.000  0.000  0.438
Ca  0.000  0.000  0.562
Ca  0.000  0.000  0.789
Ca  0.333  0.667  0.104
Ca  0.333  0.667  0.896



(2)
DFT (GGA-PBE) results for a relaxed structure of NaSrCa.

* ΔH_f (0 K): 10 kJ/mol of formula units
* N(E_F): 4.65 states/eV/cell
* energy above the lowest structure with this stoichiometry: 5.3 meV per atom

Cell lengths 4.033, 4.034, 19.486 Å; angles 84.19, 84.16, 60.10 degrees
Sites, in units of the cell vectors:
Na  0.000  0.000  0.000
Na  0.387  0.390  0.846
Sr  0.607  0.609  0.169
Sr  0.776  0.783  0.677
Ca  0.497  0.502  0.505
Ca  0.885  0.890  0.341



(3)
DFT (GGA-PBE) results for a relaxed structure of Na3SrCa2.

* ΔH_f (0 K): 58 kJ/mol of formula units
* N(E_F): 8.78 states/eV/cell

Cell lengths 8.518, 8.518, 7.207 Å; angles 90.00, 90.00, 95.23 degrees
Sites, in units of the cell vectors:
Na  0.000  0.000  0.000
Na  0.000  0.000  0.500
Na  0.321  0.321  0.000
Na  0.321  0.321  0.500
Na  0.679  0.679  0.000
Na  0.679  0.679  0.500
Sr  0.269  0.731  0.750
Sr  0.731  0.269  0.250
Ca  0.071  0.599  0.250
Ca  0.401  0.929  0.250
Ca  0.599  0.071  0.750
Ca  0.929  0.401  0.750



(4)
DFT (GGA-PBE) results for a relaxed structure of NaSrCa4.

* ΔH_f (0 K): 21 kJ/mol of formula units
* N(E_F): 7.17 states/eV/cell
* energy above the lowest structure with this stoichiometry: 0.0 meV per atom

Cell lengths 3.936, 3.936, 16.665 Å; angles 90.00, 90.00, 90.00 degrees
Sites, in units of the cell vectors:
Na  0.000  0.000  0.000
Sr  0.500  0.500  0.500
Ca  0.000  0.000  0.318
Ca  0.000  0.000  0.682
Ca  0.500  0.500  0.154
Ca  0.500  0.500  0.846



| no. | total magnetization (μB/f.u.) |
| --- | --- |
| 1 | 0.000 |
| 2 | 0.000 |
| 3 | 0.000 |
| 4 | 0.000 |